Material: Ca2HgBi3
Method: DFT, GGA-PBE
State: optimized geometry

Calculated values
crystal system: orthorhombic
V: 31.7 Å³ per atom
electronic total energy: -3.06 eV/atom

Structure (POSCAR):
```
Ca2HgBi3
1.0
3.5902 0.0000 0.0000
0.0000 4.8925 0.0000
0.0000 0.0000 10.8146
Ca Hg Bi
2 1 3
Cartesian
0.0000 0.0000 0.0000 Ca
0.0000 2.4462 5.1438 Ca
1.7951 0.0000 3.5858 Hg
1.7951 0.0000 6.6683 Bi
1.7951 2.4462 1.7468 Bi
1.7951 2.4462 9.2150 Bi
```